(1)
This record from OQMD describes an optimized crystal structure of TbHfC2. The functional is PBE.

Total moment ... 0.00 μB per formula unit
Raw total energy ... -34.38 eV for the cell shown

Unit cell a=3.430 b=3.430 c=4.856 alpha=90.00 beta=90.00 gamma=90.00
Sites, in units of the cell vectors:
C: 0.000 0.000 0.500
C: 0.500 0.500 0.000
Hf: 0.000 0.000 0.000
Tb: 0.500 0.500 0.500

***

(2)
This record from OQMD describes an optimized crystal structure of HoTePS3. The functional is PBE.

Total moment ... 0.00 μB per formula unit
Raw total energy ... -61.53 eV for the cell shown

Unit cell a=6.598 b=6.622 c=7.862 alpha=85.62 beta=88.43 gamma=80.36
Sites, in units of the cell vectors:
S: 0.980 0.867 0.199
Ho: 0.704 0.202 0.052
S: 0.512 0.084 0.769
S: 0.720 0.612 0.940
S: 0.020 0.133 0.801
Ho: 0.296 0.798 0.948
P: 0.255 0.306 0.813
Te: 0.223 0.608 0.617
S: 0.488 0.916 0.231
Te: 0.777 0.392 0.383
P: 0.745 0.694 0.187
S: 0.280 0.388 0.060

***

(3)
This record from OQMD describes an optimized crystal structure of RbHoGeS3. The functional is PBE.

Total moment ... 0.00 μB per formula unit
Raw total energy ... -61.20 eV for the cell shown

Unit cell a=8.555 b=3.915 c=10.871 alpha=90.00 beta=109.88 gamma=90.00
Sites, in units of the cell vectors:
S: 0.097 0.750 0.397
Rb: 0.271 0.250 0.228
Ge: 0.634 0.750 0.064
S: 0.827 0.250 0.084
Ge: 0.366 0.250 0.936
S: 0.622 0.750 0.276
Ho: 0.135 0.750 0.654
S: 0.903 0.250 0.603
Rb: 0.729 0.750 0.772
S: 0.173 0.750 0.916
S: 0.378 0.250 0.724
Ho: 0.865 0.250 0.346

***

(4)
This record from OQMD describes an optimized crystal structure of LaNd2Hg3PtAu2. The functional is PBE.

Formation energy ... -6.3 eV per formula unit
Total moment ... 0.00 μB per formula unit
Raw total energy ... -34.19 eV for the cell shown

Unit cell a=3.981 b=7.966 c=7.966 alpha=120.29 beta=90.00 gamma=90.00
Sites, in units of the cell vectors:
Pt: 0.000 0.002 0.002
Au: 0.500 0.668 0.333
Nd: 0.000 0.608 0.999
Hg: 0.500 0.997 0.260
Hg: 0.500 0.260 0.997
Hg: 0.500 0.742 0.742
La: 0.000 0.391 0.391
Nd: 0.000 0.999 0.608
Au: 0.500 0.333 0.668

***

(5)
This record from OQMD describes an optimized crystal structure of NaTbAu3S4. The functional is PBE.

Relative energy among the computed polymorphs ... 53 meV/atom
Total moment ... 0.01 μB per formula unit
Raw total energy ... -37.31 eV for the cell shown

Unit cell a=6.127 b=6.127 c=6.127 alpha=90.00 beta=90.00 gamma=90.00
Sites, in units of the cell vectors:
S: 0.744 0.744 0.256
Tb: 0.500 0.500 0.500
S: 0.256 0.744 0.744
Au: 0.500 0.000 0.500
Na: 0.000 0.000 0.000
S: 0.744 0.256 0.744
S: 0.256 0.256 0.256
Au: 0.500 0.500 0.000
Au: 0.000 0.500 0.500

***

(6)
This record from OQMD describes an optimized crystal structure of LaHoNi. The functional is PBE.

Formation energy ... -0.3 eV per formula unit
Relative energy among the computed polymorphs ... 0 meV/atom
Total moment ... 0.00 μB per formula unit
Raw total energy ... -15.40 eV for the cell shown

Unit cell a=4.823 b=4.823 c=4.823 alpha=60.00 beta=60.00 gamma=60.00
Sites, in units of the cell vectors:
La: 0.750 0.750 0.750
Ho: 0.250 0.250 0.250
Ni: 0.000 0.000 0.000

***

(7)
This record from OQMD describes an optimized crystal structure of LuMgNiSn. The functional is PBE.

Relative energy among the computed polymorphs ... 110 meV/atom
Total moment ... 0.11 μB per formula unit
Raw total energy ... -16.21 eV for the cell shown

Unit cell a=4.790 b=4.790 c=4.790 alpha=60.00 beta=60.00 gamma=60.00
Sites, in units of the cell vectors:
Lu: 0.250 0.250 0.250
Sn: 0.000 0.000 0.000
Mg: 0.500 0.500 0.500
Ni: 0.750 0.750 0.750

***

(8)
This record from OQMD describes an optimized crystal structure of Pm2Tc. The functional is PBE.

Formation energy ... 3.6 eV per formula unit
Relative energy among the computed polymorphs ... 0 meV/atom
Total moment ... 1.19 μB per formula unit
Raw total energy ... -32.45 eV for the cell shown

Unit cell a=6.008 b=6.008 c=6.008 alpha=60.00 beta=60.00 gamma=60.00
Sites, in units of the cell vectors:
Tc: 0.000 0.000 0.000
Tc: 0.250 0.250 0.250
Pm: 0.625 0.625 0.125
Pm: 0.625 0.125 0.625
Pm: 0.625 0.625 0.625
Pm: 0.125 0.625 0.625

***

(9)
This record from OQMD describes an optimized crystal structure of Ba2NaOsN6. The functional is PBE.

Total moment ... 5.00 μB per formula unit
Raw total energy ... -60.74 eV for the cell shown

Unit cell a=6.017 b=6.017 c=6.017 alpha=120.02 beta=120.02 gamma=89.96
Sites, in units of the cell vectors:
Na: 0.500 0.500 0.000
N: 0.227 0.227 0.000
Ba: 0.250 0.750 0.500
Ba: 0.750 0.250 0.500
N: 0.227 0.227 0.455
Os: 0.000 0.000 0.000
N: 0.227 0.773 0.000
N: 0.773 0.773 0.545
N: 0.773 0.773 0.000
N: 0.773 0.227 0.000

***

(10)
This record from OQMD describes an optimized crystal structure of GePdSO. The functional is PBE.

Relative energy among the computed polymorphs ... 485 meV/atom
Raw total energy ... -38.58 eV for the cell shown

Unit cell a=4.011 b=4.011 c=8.419 alpha=90.00 beta=90.00 gamma=90.00
Sites, in units of the cell vectors:
Ge: 0.750 0.750 0.153
S: 0.750 0.750 0.868
S: 0.250 0.250 0.132
O: 0.250 0.750 0.500
Pd: 0.250 0.250 0.438
Pd: 0.750 0.750 0.562
Ge: 0.250 0.250 0.847
O: 0.750 0.250 0.500

***

(11)
This record from OQMD describes an optimized crystal structure of Hf4InSbC2. The functional is PBE.

Total moment ... 0.00 μB per formula unit
Raw total energy ... -70.95 eV for the cell shown

Unit cell a=3.359 b=3.359 c=14.413 alpha=90.00 beta=90.00 gamma=120.00
Sites, in units of the cell vectors:
Sb: 0.667 0.333 0.500
Hf: 0.000 0.000 0.660
Hf: 0.667 0.333 0.828
In: 0.000 0.000 0.000
Hf: 0.000 0.000 0.340
C: 0.333 0.667 0.744
Hf: 0.667 0.333 0.172
C: 0.333 0.667 0.256

***

(12)
This record from OQMD describes an optimized crystal structure of MgAgTeO. The functional is PBE.

Relative energy among the computed polymorphs ... 805 meV/atom
Raw total energy ... -27.46 eV for the cell shown

Unit cell a=4.208 b=4.208 c=9.941 alpha=90.00 beta=90.00 gamma=90.00
Sites, in units of the cell vectors:
O: 0.250 0.750 0.500
Mg: 0.750 0.750 0.131
O: 0.750 0.250 0.500
Ag: 0.250 0.250 0.453
Te: 0.250 0.250 0.155
Mg: 0.250 0.250 0.869
Ag: 0.750 0.750 0.547
Te: 0.750 0.750 0.845

***

The highest raw total energy belongs to which entry? LaHoNi

***

Among the records above, which one has the lowest raw total energy? Hf4InSbC2